1.
# MnInBr6 PBE relaxed
# **Excess energy over the best structure of this formula in the dataset**: 31 meV/atom
# **Space-group type**: P-1, No. 2
data_MnInBr6
_symmetry_space_group_name_H-M 'P 1'
_symmetry_Int_Tables_number 1
_cell_length_a 6.594
_cell_length_b 6.649
_cell_length_c 7.012
_cell_angle_alpha 65.72
_cell_angle_beta 63.07
_cell_angle_gamma 63.41
loop_
_symmetry_equiv_pos_as_xyz
'x,y,z'
loop_
_atom_site_label
_atom_site_type_symbol
_atom_site_fract_x
_atom_site_fract_y
_atom_site_fract_z
_atom_site_occupancy
Mn1 Mn 0.000 0.000 0.000 1
In1 In 0.500 0.500 0.500 1
Br1 Br 0.071 0.767 0.764 1
Br2 Br 0.255 0.588 0.255 1
Br3 Br 0.381 0.081 0.766 1
Br4 Br 0.619 0.919 0.234 1
Br5 Br 0.745 0.412 0.745 1
Br6 Br 0.929 0.233 0.236 1

2.
# Mn2InBr PBE relaxed
# **Fermi-level density of states**: 1.6 states/eV/f.u.
# **Excess energy over the best structure of this formula in the dataset**: 110 meV/atom
# **Space-group type**: Imm2, No. 44
data_Mn2InBr
_symmetry_space_group_name_H-M 'P 1'
_symmetry_Int_Tables_number 1
_cell_length_a 3.189
_cell_length_b 4.447
_cell_length_c 12.161
_cell_angle_alpha 90.00
_cell_angle_beta 90.00
_cell_angle_gamma 90.00
loop_
_symmetry_equiv_pos_as_xyz
'x,y,z'
loop_
_atom_site_label
_atom_site_type_symbol
_atom_site_fract_x
_atom_site_fract_y
_atom_site_fract_z
_atom_site_occupancy
Mn1 Mn 0.000 0.000 0.000 1
Mn2 Mn 0.000 0.500 0.313 1
Mn3 Mn 0.500 0.000 0.813 1
Mn4 Mn 0.500 0.500 0.500 1
In1 In 0.000 0.000 0.467 1
In2 In 0.500 0.500 0.967 1
Br1 Br 0.000 0.500 0.698 1
Br2 Br 0.500 0.000 0.198 1

3.
# Mn2InBr PBE relaxed
# **Fermi-level density of states**: 2.6 states/eV/f.u.
# **Excess energy over the best structure of this formula in the dataset**: 159 meV/atom
# **Space-group type**: Cmmm, No. 65
data_Mn2InBr
_symmetry_space_group_name_H-M 'P 1'
_symmetry_Int_Tables_number 1
_cell_length_a 3.419
_cell_length_b 5.686
_cell_length_c 8.556
_cell_angle_alpha 90.00
_cell_angle_beta 90.00
_cell_angle_gamma 90.00
loop_
_symmetry_equiv_pos_as_xyz
'x,y,z'
loop_
_atom_site_label
_atom_site_type_symbol
_atom_site_fract_x
_atom_site_fract_y
_atom_site_fract_z
_atom_site_occupancy
Mn1 Mn 0.000 0.000 0.245 1
Mn2 Mn 0.000 0.000 0.755 1
Mn3 Mn 0.500 0.500 0.245 1
Mn4 Mn 0.500 0.500 0.755 1
In1 In 0.000 0.500 0.500 1
In2 In 0.500 0.000 0.500 1
Br1 Br 0.000 0.500 0.000 1
Br2 Br 0.500 0.000 0.000 1

4.
# MnInBr3 PBE relaxed
# **Fermi-level density of states**: 0.0 states/eV/f.u.
# **Space-group type**: P1, No. 1
data_MnInBr3
_symmetry_space_group_name_H-M 'P 1'
_symmetry_Int_Tables_number 1
_cell_length_a 5.259
_cell_length_b 8.379
_cell_length_c 8.382
_cell_angle_alpha 74.61
_cell_angle_beta 89.90
_cell_angle_gamma 89.92
loop_
_symmetry_equiv_pos_as_xyz
'x,y,z'
loop_
_atom_site_label
_atom_site_type_symbol
_atom_site_fract_x
_atom_site_fract_y
_atom_site_fract_z
_atom_site_occupancy
Mn1 Mn 0.000 0.000 0.000 1
Mn2 Mn 0.001 0.349 0.651 1
In1 In 0.173 0.464 0.114 1
In2 In 0.829 0.886 0.535 1
Br1 Br 0.241 0.600 0.652 1
Br2 Br 0.242 0.002 0.250 1
Br3 Br 0.243 0.070 0.722 1
Br4 Br 0.759 0.279 0.929 1
Br5 Br 0.760 0.347 0.400 1
Br6 Br 0.760 0.749 0.999 1

5.
# Mn3InBr PBE relaxed
# **Fermi-level density of states**: 5.2 states/eV/f.u.
# **Excess energy over the best structure of this formula in the dataset**: 0 meV/atom
# **Space-group type**: Pm-3m, No. 221
data_Mn3InBr
_symmetry_space_group_name_H-M 'P 1'
_symmetry_Int_Tables_number 1
_cell_length_a 4.713
_cell_length_b 4.713
_cell_length_c 4.713
_cell_angle_alpha 90.00
_cell_angle_beta 90.00
_cell_angle_gamma 90.00
loop_
_symmetry_equiv_pos_as_xyz
'x,y,z'
loop_
_atom_site_label
_atom_site_type_symbol
_atom_site_fract_x
_atom_site_fract_y
_atom_site_fract_z
_atom_site_occupancy
Mn1 Mn 0.000 0.000 0.500 1
Mn2 Mn 0.000 0.500 0.000 1
Mn3 Mn 0.500 0.000 0.000 1
In1 In 0.500 0.500 0.500 1
Br1 Br 0.000 0.000 0.000 1

6.
# Mn2InBr PBE relaxed
# **Fermi-level density of states**: 3.4 states/eV/f.u.
# **Excess energy over the best structure of this formula in the dataset**: 101 meV/atom
# **Space-group type**: R3m, No. 160
data_Mn2InBr
_symmetry_space_group_name_H-M 'P 1'
_symmetry_Int_Tables_number 1
_cell_length_a 3.312
_cell_length_b 3.312
_cell_length_c 26.338
_cell_angle_alpha 90.00
_cell_angle_beta 90.00
_cell_angle_gamma 120.00
loop_
_symmetry_equiv_pos_as_xyz
'x,y,z'
loop_
_atom_site_label
_atom_site_type_symbol
_atom_site_fract_x
_atom_site_fract_y
_atom_site_fract_z
_atom_site_occupancy
Mn1 Mn 0.000 0.000 0.000 1
Mn2 Mn 0.000 0.000 0.258 1
Mn3 Mn 0.333 0.667 0.667 1
Mn4 Mn 0.333 0.667 0.924 1
Mn5 Mn 0.667 0.333 0.333 1
Mn6 Mn 0.667 0.333 0.591 1
In1 In 0.000 0.000 0.748 1
In2 In 0.333 0.667 0.414 1
In3 In 0.667 0.333 0.081 1
Br1 Br 0.000 0.000 0.523 1
Br2 Br 0.333 0.667 0.190 1
Br3 Br 0.667 0.333 0.857 1

7.
# MnIn3Br4 PBE relaxed
# **Fermi-level density of states**: 1.8 states/eV/f.u.
# **Space-group type**: Pmn2_1, No. 31
data_MnIn3Br4
_symmetry_space_group_name_H-M 'P 1'
_symmetry_Int_Tables_number 1
_cell_length_a 11.757
_cell_length_b 6.296
_cell_length_c 6.999
_cell_angle_alpha 90.00
_cell_angle_beta 90.00
_cell_angle_gamma 90.00
loop_
_symmetry_equiv_pos_as_xyz
'x,y,z'
loop_
_atom_site_label
_atom_site_type_symbol
_atom_site_fract_x
_atom_site_fract_y
_atom_site_fract_z
_atom_site_occupancy
Mn1 Mn 0.000 0.019 0.000 1
Mn2 Mn 0.500 0.981 0.500 1
In1 In 0.000 0.472 0.463 1
In2 In 0.246 0.392 0.710 1
In3 In 0.254 0.608 0.210 1
In4 In 0.500 0.528 0.963 1
In5 In 0.746 0.608 0.210 1
In6 In 0.754 0.392 0.710 1
Br1 Br 0.000 0.423 0.988 1
Br2 Br 0.000 0.954 0.349 1
Br3 Br 0.178 0.914 0.836 1
Br4 Br 0.322 0.086 0.336 1
Br5 Br 0.500 0.046 0.849 1
Br6 Br 0.500 0.577 0.488 1
Br7 Br 0.678 0.086 0.336 1
Br8 Br 0.822 0.914 0.836 1

8.
# Mn2InBr PBE relaxed
# **Fermi-level density of states**: 2.6 states/eV/f.u.
# **Excess energy over the best structure of this formula in the dataset**: 303 meV/atom
# **Space-group type**: I-4m2, No. 119
data_Mn2InBr
_symmetry_space_group_name_H-M 'P 1'
_symmetry_Int_Tables_number 1
_cell_length_a 3.911
_cell_length_b 3.911
_cell_length_c 10.848
_cell_angle_alpha 90.00
_cell_angle_beta 90.00
_cell_angle_gamma 90.00
loop_
_symmetry_equiv_pos_as_xyz
'x,y,z'
loop_
_atom_site_label
_atom_site_type_symbol
_atom_site_fract_x
_atom_site_fract_y
_atom_site_fract_z
_atom_site_occupancy
Mn1 Mn 0.000 0.000 0.000 1
Mn2 Mn 0.000 0.500 0.250 1
Mn3 Mn 0.500 0.000 0.750 1
Mn4 Mn 0.500 0.500 0.500 1
In1 In 0.000 0.000 0.500 1
In2 In 0.500 0.500 0.000 1
Br1 Br 0.000 0.500 0.750 1
Br2 Br 0.500 0.000 0.250 1

9.
# Mn2InBr PBE relaxed
# **Fermi-level density of states**: 3.9 states/eV/f.u.
# **Excess energy over the best structure of this formula in the dataset**: 162 meV/atom
# **Space-group type**: P4/mmm, No. 123
data_Mn2InBr
_symmetry_space_group_name_H-M 'P 1'
_symmetry_Int_Tables_number 1
_cell_length_a 3.195
_cell_length_b 3.195
_cell_length_c 7.720
_cell_angle_alpha 90.00
_cell_angle_beta 90.00
_cell_angle_gamma 90.00
loop_
_symmetry_equiv_pos_as_xyz
'x,y,z'
loop_
_atom_site_label
_atom_site_type_symbol
_atom_site_fract_x
_atom_site_fract_y
_atom_site_fract_z
_atom_site_occupancy
Mn1 Mn 0.000 0.000 0.245 1
Mn2 Mn 0.000 0.000 0.755 1
In1 In 0.500 0.500 0.000 1
Br1 Br 0.500 0.500 0.500 1

10.
# MnIn2Br6 PBE relaxed
# **Fermi-level density of states**: 4.1 states/eV/f.u.
# **Excess energy over the best structure of this formula in the dataset**: 87 meV/atom
# **Space-group type**: C2/c, No. 15
data_MnIn2Br6
_symmetry_space_group_name_H-M 'P 1'
_symmetry_Int_Tables_number 1
_cell_length_a 9.214
_cell_length_b 9.214
_cell_length_c 6.660
_cell_angle_alpha 97.15
_cell_angle_beta 97.15
_cell_angle_gamma 98.93
loop_
_symmetry_equiv_pos_as_xyz
'x,y,z'
loop_
_atom_site_label
_atom_site_type_symbol
_atom_site_fract_x
_atom_site_fract_y
_atom_site_fract_z
_atom_site_occupancy
Mn1 Mn 0.073 0.927 0.750 1
Mn2 Mn 0.927 0.073 0.250 1
In1 In 0.230 0.433 0.006 1
In2 In 0.433 0.230 0.506 1
In3 In 0.567 0.770 0.494 1
In4 In 0.770 0.567 0.994 1
Br1 Br 0.073 0.187 0.623 1
Br2 Br 0.076 0.667 0.869 1
Br3 Br 0.187 0.073 0.123 1
Br4 Br 0.304 0.502 0.440 1
Br5 Br 0.333 0.924 0.631 1
Br6 Br 0.498 0.696 0.060 1
Br7 Br 0.502 0.304 0.940 1
Br8 Br 0.667 0.076 0.369 1
Br9 Br 0.696 0.498 0.560 1
Br10 Br 0.813 0.927 0.877 1
Br11 Br 0.924 0.333 0.131 1
Br12 Br 0.927 0.813 0.377 1

no.,magnetic moment (μB/f.u.),ΔE_f (raw) (meV/atom)
1,3.97,-620
2,7.65,281
3,7.95,331
4,5.00,-712
5,10.82,904
6,7.53,273
7,4.96,-539
8,7.87,474
9,7.87,333
10,3.55,-622